Record 1
## CeNd4H10 (PBE)

Data for an optimized crystal structure of CeNd4H10.

Cell and atoms, written as CIF:
```
data_CeNd4H10
_cell_length_a 3.8688
_cell_length_b 3.8688
_cell_length_c 47.5111
_cell_angle_alpha 90.00
_cell_angle_beta 90.00
_cell_angle_gamma 120.00
_symmetry_space_group_name_H-M 'R -3 m'
_symmetry_Int_Tables_number 166
_symmetry_space_group_name_Hall '-R 3 2"'
loop_
_atom_site_label
_atom_site_type_symbol
_atom_site_fract_x
_atom_site_fract_y
_atom_site_fract_z
Ce1 Ce 0.0000 0.0000 0.0000
Nd1 Nd 0.0000 0.0000 0.1999
Nd2 Nd 0.0000 0.0000 0.3998
H1 H 0.0000 0.0000 0.0498
H2 H 0.0000 0.0000 0.1499
H3 H 0.0000 0.0000 0.2499
H4 H 0.0000 0.0000 0.3498
H5 H 0.0000 0.0000 0.4498
```

crystal system	trigonal
calculated density	5.9	g/cm³

---

Record 2
## CeNd3H (PBE)

Data for an optimized crystal structure of CeNd3H.

Cell and atoms, written as CIF:
```
data_CeNd3H
_cell_length_a 5.1331
_cell_length_b 5.1331
_cell_length_c 5.1331
_cell_angle_alpha 90.00
_cell_angle_beta 90.00
_cell_angle_gamma 90.00
_symmetry_space_group_name_H-M 'P m -3 m'
_symmetry_Int_Tables_number 221
_symmetry_space_group_name_Hall '-P 4 2 3'
loop_
_atom_site_label
_atom_site_type_symbol
_atom_site_fract_x
_atom_site_fract_y
_atom_site_fract_z
Ce1 Ce 0.0000 0.0000 0.0000
Nd1 Nd 0.0000 0.5000 0.5000
H1 H 0.5000 0.5000 0.5000
```

crystal system	cubic
calculated density	7.0	g/cm³

---

Record 3
## CeNdH4 (PBE)

Data for an optimized crystal structure of CeNdH4.

Cell and atoms, written as CIF:
```
data_CeNdH4
_cell_length_a 3.8622
_cell_length_b 3.8622
_cell_length_c 5.4750
_cell_angle_alpha 90.00
_cell_angle_beta 90.00
_cell_angle_gamma 90.00
_symmetry_space_group_name_H-M 'P 4/m m m'
_symmetry_Int_Tables_number 123
_symmetry_space_group_name_Hall '-P 4 2'
loop_
_atom_site_label
_atom_site_type_symbol
_atom_site_fract_x
_atom_site_fract_y
_atom_site_fract_z
Ce1 Ce 0.0000 0.0000 0.0000
Nd1 Nd 0.5000 0.5000 0.5000
H1 H 0.0000 0.5000 0.2481
```

crystal system	tetragonal
calculated density	5.9	g/cm³

---

Record 4
## Ce2NdH6 (PBE)

Data for an optimized crystal structure of Ce2NdH6.

Cell and atoms, written as CIF:
```
data_Ce2NdH6
_cell_length_a 3.8533
_cell_length_b 5.4637
_cell_length_c 11.5671
_cell_angle_alpha 90.00
_cell_angle_beta 90.00
_cell_angle_gamma 90.00
_symmetry_space_group_name_H-M 'I m m m'
_symmetry_Int_Tables_number 71
_symmetry_space_group_name_Hall '-I 2 2'
loop_
_atom_site_label
_atom_site_type_symbol
_atom_site_fract_x
_atom_site_fract_y
_atom_site_fract_z
Ce1 Ce 0.0000 0.0000 0.1669
Nd1 Nd 0.0000 0.0000 0.5000
H1 H 0.0000 0.2472 0.0000
H2 H 0.0000 0.2513 0.3327
```

crystal system	orthorhombic
calculated density	5.9	g/cm³

---

Number 1: E -4.5261 eV per atom. Number 2: E -4.8340 eV per atom. Number 3: E -4.6053 eV per atom. Number 4: E -4.6508 eV per atom.